[1]
Material: SrPb
Method: DFT, PBE-GGA
State: optimized geometry

Total energy = -3.053 eV/atom
Symmetry = P6_3/mmc
N(E_F) = 3.8 states/eV/cell
Crystal system = hexagonal

Cell: 5.480 5.480 6.263 Å, 90.00 90.00 120.00°
Fractional positions:
Pb1 0.000 0.000 0.000
Pb2 0.000 0.000 0.500
Sr1 0.333 0.667 0.250
Sr2 0.667 0.333 0.750



[2]
Material: BeSiC3
Method: DFT, PBE-GGA
State: optimized geometry

Energy relative to the elements, uncorrected = 2208 meV per atom
Symmetry = Pm-3m
N(E_F) = 2.0 states/eV/cell
Crystal system = cubic

Cell: 3.718 3.718 3.718 Å, 90.00 90.00 90.00°
Fractional positions:
C1 0.000 0.000 0.500
C2 0.000 0.500 0.000
C3 0.500 0.000 0.000
Si1 0.000 0.000 0.000
Be1 0.500 0.500 0.500



[3]
Material: La6ZnIn2
Method: DFT, PBE-GGA
State: optimized geometry

Total energy = -4.331 eV/atom
Symmetry = P-62m
N(E_F) = 9.7 states/eV/cell
Crystal system = hexagonal

Cell: 3.828 9.308 9.305 Å, 120.01 90.00 90.00°
Fractional positions:
La1 0.000 0.000 0.269
La2 0.500 0.000 0.606
La3 0.000 0.731 0.731
La4 0.500 0.394 0.394
La5 0.000 0.269 0.000
La6 0.500 0.606 0.000
In1 0.000 0.333 0.667
In2 0.000 0.667 0.333
Zn1 0.500 0.000 0.000



[4]
Material: Yb2TlZn
Method: DFT, PBE-GGA
State: optimized geometry

Total energy = -2.078 eV/atom
Symmetry = Fm-3m
N(E_F) = 3.1 states/eV/cell
Crystal system = cubic

Cell: 5.287 5.287 5.287 Å, 60.00 60.00 60.00°
Fractional positions:
Yb1 0.500 0.500 0.500
Yb2 0.000 0.000 0.000
Zn1 0.750 0.750 0.750
Tl1 0.250 0.250 0.250



[5]
Material: TbTeO
Method: DFT, PBE-GGA
State: optimized geometry

Energy relative to the elements, uncorrected = -2123 meV per atom
Symmetry = P-3m1
N(E_F) = 2.7 states/eV/cell
Crystal system = trigonal

Cell: 3.682 3.682 12.415 Å, 90.00 90.00 120.00°
Fractional positions:
O1 0.667 0.333 0.932
O2 0.333 0.667 0.068
Tb1 0.333 0.667 0.875
Tb2 0.667 0.333 0.125
Te1 0.667 0.333 0.668
Te2 0.333 0.667 0.332



[6]
Material: PSe2S
Method: DFT, PBE-GGA
State: optimized geometry

Energy relative to the elements, uncorrected = 8 meV per atom
Symmetry = P2_1/c
Crystal system = monoclinic

Cell: 7.792 7.373 8.544 Å, 95.63 90.00 90.00°
Fractional positions:
Se1 0.579 0.490 0.745
Se2 0.961 0.372 0.073
Se3 0.921 0.990 0.245
Se4 0.421 0.510 0.255
Se5 0.039 0.628 0.927
Se6 0.461 0.128 0.427
Se7 0.079 0.010 0.755
Se8 0.539 0.872 0.573
S1 0.814 0.330 0.679
S2 0.186 0.670 0.321
S3 0.686 0.830 0.179
S4 0.314 0.170 0.821
P1 0.155 0.824 0.124
P2 0.655 0.676 0.376
P3 0.345 0.324 0.624
P4 0.845 0.176 0.876



[7]
Material: ScSiPt2
Method: DFT, PBE-GGA
State: optimized geometry

Energy relative to the elements, uncorrected = -843 meV per atom
Symmetry = Cmmm
N(E_F) = 1.9 states/eV/cell
Crystal system = orthorhombic

Cell: 6.730 4.224 3.597 Å, 90.02 57.67 124.67°
Fractional positions:
Si1 0.500 0.500 0.000
Sc1 0.000 0.500 0.500
Pt1 0.500 0.000 0.500
Pt2 0.000 0.000 0.000



[8]
Material: TaIBr3
Method: DFT, PBE-GGA
State: optimized geometry

Energy relative to the elements, uncorrected = -515 meV per atom
Symmetry = P1
N(E_F) = 2.3 states/eV/cell
Crystal system = triclinic

Cell: 6.684 6.684 9.857 Å, 88.16 68.19 60.12°
Fractional positions:
Ta1 0.023 0.016 0.781
Ta2 0.277 0.272 0.782
Br1 0.542 0.129 0.956
Br2 0.783 0.059 0.605
Br3 0.095 0.684 0.957
Br4 0.004 0.194 0.022
Br5 0.354 0.034 0.548
Br6 0.307 0.581 0.605
I1 0.974 0.495 0.348
I2 0.774 0.517 0.791